# LiAgRuBr6 (PBE, optimized geometry)
data_LiAgRuBr6
_cell_length_a 6.6933
_cell_length_b 6.6933
_cell_length_c 12.2087
_cell_angle_alpha 90.00
_cell_angle_beta 90.00
_cell_angle_gamma 120.00
_space_group_name_H-M_alt 'P -3 1 c'
_space_group_IT_number 163
_space_group_name_Hall '-P 3 2c'
loop_
_atom_site_label
_atom_site_fract_x
_atom_site_fract_y
_atom_site_fract_z
_atom_site_occupancy
Li1 0.3333 0.6667 0.2500 1
Ag1 0.0000 0.0000 0.0000 1
Ru1 0.3333 0.6667 0.7500 1
Br1 0.0199 0.3672 0.6312 1
# - Total energy: -3.192 eV/atom
# - Density of states at the Fermi level: 0.557 states/eV per atom
# - Crystal system: trigonal
# - Uncorrected formation energy: -0.52 eV per atom



# TaInTe3 (PBE, optimized geometry)
data_TaInTe3
_cell_length_a 5.4788
_cell_length_b 5.4788
_cell_length_c 5.4788
_cell_angle_alpha 90.00
_cell_angle_beta 90.00
_cell_angle_gamma 90.00
_space_group_name_H-M_alt 'P m -3 m'
_space_group_IT_number 221
_space_group_name_Hall '-P 4 2 3'
loop_
_atom_site_label
_atom_site_fract_x
_atom_site_fract_y
_atom_site_fract_z
_atom_site_occupancy
Ta1 0.0000 0.0000 0.0000 1
In1 0.5000 0.5000 0.5000 1
Te1 0.0000 0.0000 0.5000 1
# - Total energy: -4.766 eV/atom
# - Density of states at the Fermi level: 0.547 states/eV per atom
# - Crystal system: cubic
# - Uncorrected formation energy: 0.04 eV per atom
# - Energy above the most stable polymorph in this dataset: 0.219 eV per atom